A plane-wave DFT calculation with GGA-PBE was carried out for a geometry-optimized PmPr4Ho2 structure.

Cell lengths 12.7001, 12.7001, 6.8938 Å; angles 96.98, 96.98, 150.25 degrees
Closest atoms and distances in Å follow each position.
Fractional positions:
1 Pm 0.4215 0.6718 0.4994  4 Ho 3.49-3.66, 8 Pr 3.62-3.79
2 Pm 0.6718 0.4215 0.9994  4 Ho 3.49-3.66, 8 Pr 3.62-3.79
3 Pr 0.7170 0.1795 0.8710  6 Pr 3.48-3.87, 3 Ho 3.61-3.88, 2 Pm 3.62-3.72
4 Pr 0.1795 0.7170 0.3710  6 Pr 3.48-3.87, 3 Ho 3.61-3.88, 2 Pm 3.62-3.72
5 Pr 0.1860 0.7934 0.9022  5 Pr 3.48-3.87, 4 Ho 3.49-3.69, 2 Pm 3.70-3.79
6 Pr 0.7934 0.1860 0.4022  5 Pr 3.48-3.87, 4 Ho 3.49-3.69, 2 Pm 3.70-3.79
7 Pr 0.0346 0.1423 0.5987  5 Pr 3.47-3.87, 4 Ho 3.49-3.70, 2 Pm 3.70-3.79
8 Pr 0.5593 0.5963 0.1305  6 Pr 3.47-3.87, 3 Ho 3.61-3.88, 2 Pm 3.62-3.72
9 Pr 0.5963 0.5593 0.6305  6 Pr 3.47-3.87, 3 Ho 3.61-3.88, 2 Pm 3.62-3.72
10 Pr 0.1423 0.0346 0.0987  5 Pr 3.47-3.87, 4 Ho 3.49-3.70, 2 Pm 3.70-3.79
11 Ho 0.6240 0.3070 0.4502  7 Pr 3.49-3.88, 2 Pm 3.49-3.66, 2 Ho 3.70-3.71
12 Ho 0.9230 0.1056 0.0495  2 Pm 3.49-3.66, 7 Pr 3.49-3.88, 2 Ho 3.70-3.71
13 Ho 0.1056 0.9230 0.5495  2 Pm 3.49-3.66, 7 Pr 3.49-3.88, 2 Ho 3.70-3.71
14 Ho 0.3070 0.6240 0.9502  7 Pr 3.49-3.88, 2 Pm 3.49-3.66, 2 Ho 3.70-3.71

Summary:
- Volume: 34.7 Å³/atom
- Energy of formation: 0.4 eV/f.u.
- Total moment: 0.0 μB per formula unit
- Crystal system: monoclinic

=====

A plane-wave DFT calculation with GGA-PBE was carried out for a geometry-optimized PtRhCl2 structure.

Cell lengths 7.4220, 7.4220, 7.4220 Å; angles 29.08, 29.08, 29.08 degrees
Closest atoms and distances in Å follow each position.
Fractional positions:
1 Rh 0.7575 0.7575 0.7575  3 Cl 2.45, 3 Pt 2.56
2 Pt 0.4895 0.4895 0.4895  3 Cl 2.51, 3 Rh 2.56
3 Cl 0.0362 0.0362 0.0362  3 Rh 2.45
4 Cl 0.2168 0.2168 0.2168  3 Pt 2.51

Summary:
- Volume: 21.4 Å³/atom
- Total moment: 0.6 μB per formula unit
- Crystal system: trigonal
- ΔE_f (raw): -10.8 kJ per mole of atoms

=====

A plane-wave DFT calculation with GGA-PBE was carried out for a geometry-optimized Sm5DyEr3 structure.

Cell lengths 12.0689, 12.0689, 11.5056 Å; angles 43.96, 43.96, 32.28 degrees
Closest atoms and distances in Å follow each position.
Fractional positions:
1 Sm 0.3129 0.6871 0.7500  1 Dy 3.01, 2 Sm 3.03
2 Sm 0.0829 0.2596 0.0034  2 Sm 3.03-3.39, 2 Er 3.31-3.32
3 Sm 0.3921 0.3861 0.1708  4 Sm 3.39-3.61, 5 Er 3.47-3.78, 2 Dy 3.75-3.79
4 Sm 0.9171 0.7404 0.9966  2 Sm 3.03-3.39, 2 Er 3.31-3.32
5 Sm 0.6139 0.6079 0.3292  4 Sm 3.39-3.61, 5 Er 3.47-3.78, 2 Dy 3.75-3.79
6 Sm 0.6871 0.3129 0.2500  1 Dy 3.01, 2 Sm 3.03
7 Sm 0.2596 0.0829 0.5034  2 Sm 3.03-3.39, 2 Er 3.31-3.32
8 Sm 0.7404 0.9171 0.4966  2 Sm 3.03-3.39, 2 Er 3.31-3.32
9 Sm 0.3861 0.3921 0.6708  4 Sm 3.39-3.61, 5 Er 3.47-3.78, 2 Dy 3.75-3.79
10 Sm 0.6079 0.6139 0.8292  4 Sm 3.39-3.61, 5 Er 3.47-3.78, 2 Dy 3.75-3.79
11 Dy 0.7609 0.2391 0.7500  1 Sm 3.01, 2 Er 3.29
12 Dy 0.2391 0.7609 0.2500  1 Sm 3.01, 2 Er 3.29
13 Er 0.0000 0.0000 0.0000  2 Dy 3.29, 2 Sm 3.56
14 Er 0.8365 0.6407 0.3947  7 Sm 3.31-3.62, 1 Er 3.50
15 Er 0.0000 0.0000 0.5000  2 Dy 3.29, 2 Sm 3.56
16 Er 0.1635 0.3593 0.6053  7 Sm 3.31-3.62, 1 Er 3.50
17 Er 0.6407 0.8365 0.8947  7 Sm 3.31-3.62, 1 Er 3.50
18 Er 0.3593 0.1635 0.1053  7 Sm 3.31-3.62, 1 Er 3.50

Summary:
- Volume: 32.9 Å³/atom
- Energy of formation: 1.6 eV/f.u.
- Total moment: 0.0 μB per formula unit
- Crystal system: monoclinic

=====

For reference, D(E_F) by record: 1.544 1.520 1.409 states/eV per atom.
For reference, energy above the most stable polymorph in this dataset by record: 0.000 0.000 0.000 eV/atom.